A plane-wave DFT calculation with PBE was carried out for a relaxed structure of HfAs2W2.

Properties
**Total energy**: -0.649 Ry/atom

Cell: 4.3698 4.3698 9.5605 Å, 90.00 90.00 90.00°
Space group I4/mmm (No. 139)
Unique sites:
Hf 0.0000 0.0000 0.0000 x2
As 0.0000 0.0000 0.3735 x4
W 0.0000 0.5000 0.2500 x4

A plane-wave DFT calculation with PBE was carried out for a relaxed structure of CuAg7.

Properties
**Polymorph energy (0 for the lowest one)**: 0.011 eV per atom

Cell: 8.1395 11.6755 2.9101 Å, 90.00 90.00 90.00°
Space group Cmmm (No. 65)
Unique sites:
Cu 0.0000 0.0000 0.0000 x2
Ag 0.0000 0.2533 0.0000 x4
Ag 0.0000 0.5000 0.0000 x2
Ag 0.2388 0.1219 0.5000 x8

A plane-wave DFT calculation with PBE was carried out for a relaxed structure of LuGaAgAu.

Properties
**Polymorph energy (0 for the lowest one)**: 0.027 eV per atom

Cell: 6.7702 6.7702 6.7702 Å, 90.00 90.00 90.00°
Space group F-43m (No. 216)
Unique sites:
Lu 0.0000 0.0000 0.0000 x4
Ga 0.2500 0.2500 0.2500 x4
Ag 0.0000 0.0000 0.5000 x4
Au 0.2500 0.2500 0.7500 x4